Compound: KAg2RhAu
Source: Alexandria via LeMat-Bulk
Functional: PBE
Structure: optimized geometry

```
data_KAg2RhAu
_chemical_formula_sum 'K1 Ag2 Rh1 Au1'
_cell_length_a 5.1966
_cell_length_b 5.1966
_cell_length_c 5.6875
_cell_angle_alpha 90.00
_cell_angle_beta 90.00
_cell_angle_gamma 90.00
_space_group_name_H-M_alt 'P 4/m m m'
_space_group_IT_number 123
_space_group_name_Hall '-P 4 2'
loop_
_atom_site_label
_atom_site_type_symbol
_atom_site_fract_x
_atom_site_fract_y
_atom_site_fract_z
_atom_site_occupancy
K1 K 0.0000 0.0000 0.0000 1
Ag1 Ag 0.0000 0.5000 0.5000 1
Rh1 Rh 0.5000 0.5000 0.0000 1
Au1 Au 0.0000 0.0000 0.5000 1
```

Properties
- E_tot: -2.489 eV per atom
- Energy relative to the elements: 0.9972 eV/atom
- Density: 5.997 Mg/m³
- Crystal system: tetragonal